No. 1
First-principles (PBE) data for GeIr2Os after structural relaxation, as listed in Alexandria.

a = 5.5309 Å, b = 5.5309 Å, c = 11.3142 Å
α = 90.00°, β = 90.00°, γ = 90.00°
Last column: nearest neighbours and their distance in Å.
Space group I-42d (No. 122)
Symmetry-distinct sites (fractional):
Ge1 0.0000 0.0000 0.0000 (multiplicity 4)  4 Ir 2.43
Ir1 0.2438 0.2500 0.6250 (multiplicity 8)  2 Os 2.39, 2 Ge 2.43
Os1 0.0000 0.0000 0.5000 (multiplicity 4)  4 Ir 2.39

---

No. 2
First-principles (PBE) data for GeIr3Os after structural relaxation, as listed in Alexandria.

a = 4.4984 Å, b = 4.4984 Å, c = 4.4984 Å
α = 90.00°, β = 90.00°, γ = 90.00°
Last column: nearest neighbours and their distance in Å.
Space group Pm-3m (No. 221)
Symmetry-distinct sites (fractional):
Ge1 0.0000 0.0000 0.0000 (multiplicity 1)  6 Ir 2.25
Ir1 0.0000 0.0000 0.5000 (multiplicity 3)  2 Ge 2.25
Os1 0.5000 0.5000 0.5000 (multiplicity 1)  12 Ir 3.18

The excess energy over the best structure of this formula in the dataset comes out at 24.8 meV/atom.

---

No. 3
First-principles (PBE) data for GeIrOs2Pd after structural relaxation, as listed in Alexandria.

a = 4.4991 Å, b = 4.4991 Å, c = 4.4471 Å
α = 90.00°, β = 90.00°, γ = 90.00°
Last column: nearest neighbours and their distance in Å.
Space group P4/mmm (No. 123)
Symmetry-distinct sites (fractional):
Ge1 0.0000 0.0000 0.0000 (multiplicity 1)  2 Pd 2.22, 4 Os 2.25
Ir1 0.5000 0.5000 0.5000 (multiplicity 1)  8 Os 3.16, 4 Pd 3.18
Os1 0.0000 0.5000 0.0000 (multiplicity 2)  2 Ge 2.25
Pd1 0.0000 0.0000 0.5000 (multiplicity 1)  2 Ge 2.22

---

Quick rundown of formation enthalpy at 0 K, same order as above: 16.0, 40.0, 39.0 kcal/mol of atoms
Quick rundown of DOS(E_F), same order as above: 11.4, 12.0, 8.6 states/eV per cell